# 1
First-principles (GGA-PBEsol) data for a relaxed structure of GaRhI2N, as listed in Alexandria.

Unit cell a=5.5535 b=5.5535 c=3.4976 alpha=90.00 beta=90.00 gamma=90.00
Last column: nearest neighbours and their distance in Å.
Element x y z (fractional)
Ga: 0.0000 0.0000 0.0000  2 N 1.75
Rh: 0.5000 0.5000 0.5000  8 I 3.28, 2 Rh 3.50
I: 0.0000 0.5000 0.0000  2 Ga 2.78
I: 0.5000 0.0000 0.0000  2 Ga 2.78
N: 0.0000 0.0000 0.5000  2 Ga 1.75

* formation energy (no corrections): 935 meV/atom

# 2
First-principles (GGA-PBEsol) data for a relaxed structure of Mg2Sc, as listed in Alexandria.

Unit cell a=3.2029 b=3.2029 c=7.8048 alpha=90.00 beta=90.00 gamma=120.00
Last column: nearest neighbours and their distance in Å.
Element x y z (fractional)
Mg: 0.3333 0.6667 0.3338  9 Mg 3.19-3.20, 3 Sc 3.19
Mg: 0.6667 0.3333 0.6662  9 Mg 3.19-3.20, 3 Sc 3.19
Sc: 0.0000 0.0000 0.0000  6 Mg 3.19, 6 Sc 3.20

* formation energy: 0.021 eV/atom

# 3
First-principles (GGA-PBEsol) data for a relaxed structure of Sr7ZrN6, as listed in Alexandria.

Unit cell a=12.2252 b=6.7321 c=13.6347 alpha=90.00 beta=90.00 gamma=90.00
Last column: nearest neighbours and their distance in Å.
Element x y z (fractional)
Sr: 0.0000 0.0150 0.2500  4 N 2.66-2.67
Sr: 0.0000 0.9850 0.7500  4 N 2.66-2.67
Sr: 0.0426 0.2241 0.5049  4 N 2.52-2.63
Sr: 0.0426 0.7759 0.0049  4 N 2.52-2.63
Sr: 0.2210 0.3804 0.1201  4 N 2.50-2.69
Sr: 0.2210 0.6196 0.6201  4 N 2.50-2.69
Sr: 0.2257 0.3574 0.8710  4 N 2.56-2.79
Sr: 0.2257 0.6426 0.3710  4 N 2.56-2.79
Sr: 0.2743 0.1426 0.3710  4 N 2.56-2.79
Sr: 0.2743 0.8574 0.8710  4 N 2.56-2.79
Sr: 0.2790 0.1196 0.6201  4 N 2.50-2.69
Sr: 0.2790 0.8804 0.1201  4 N 2.50-2.69
Sr: 0.4574 0.2759 0.0049  4 N 2.52-2.63
Sr: 0.4574 0.7241 0.5049  4 N 2.52-2.63
Sr: 0.5000 0.4850 0.7500  4 N 2.66-2.67
Sr: 0.5000 0.5150 0.2500  4 N 2.66-2.67
Sr: 0.5426 0.2759 0.4951  4 N 2.52-2.63
Sr: 0.5426 0.7241 0.9951  4 N 2.52-2.63
Sr: 0.7210 0.1196 0.8799  4 N 2.50-2.69
Sr: 0.7210 0.8804 0.3799  4 N 2.50-2.69
Sr: 0.7257 0.1426 0.1290  4 N 2.56-2.79
Sr: 0.7257 0.8574 0.6290  4 N 2.56-2.79
Sr: 0.7743 0.3574 0.6290  4 N 2.56-2.79
Sr: 0.7743 0.6426 0.1290  4 N 2.56-2.79
Sr: 0.7790 0.3804 0.3799  4 N 2.50-2.69
Sr: 0.7790 0.6196 0.8799  4 N 2.50-2.69
Sr: 0.9574 0.2241 0.9951  4 N 2.52-2.63
Sr: 0.9574 0.7759 0.4951  4 N 2.52-2.63
Zr: 0.0000 0.4849 0.7500  4 N 2.07-2.09
Zr: 0.0000 0.5151 0.2500  4 N 2.07-2.09
Zr: 0.5000 0.0151 0.2500  4 N 2.07-2.09
Zr: 0.5000 0.9849 0.7500  4 N 2.07-2.09
N: 0.0959 0.3261 0.3334  1 Zr 2.07
N: 0.0959 0.6739 0.8334  1 Zr 2.07
N: 0.1129 0.2953 0.6829  1 Zr 2.09
N: 0.1129 0.7047 0.1829  1 Zr 2.09
N: 0.1584 0.1054 0.9977  6 Sr 2.56-2.79
N: 0.1584 0.8946 0.4977  6 Sr 2.56-2.79
N: 0.3416 0.3946 0.4977  6 Sr 2.56-2.79
N: 0.3416 0.6054 0.9977  6 Sr 2.56-2.79
N: 0.3871 0.2047 0.1829  1 Zr 2.09
N: 0.3871 0.7953 0.6829  1 Zr 2.09
N: 0.4041 0.1739 0.8334  1 Zr 2.07
N: 0.4041 0.8261 0.3334  1 Zr 2.07
N: 0.5959 0.1739 0.6666  1 Zr 2.07
N: 0.5959 0.8261 0.1666  1 Zr 2.07
N: 0.6129 0.2047 0.3171  1 Zr 2.09
N: 0.6129 0.7953 0.8171  1 Zr 2.09
N: 0.6584 0.3946 0.0023  6 Sr 2.56-2.79
N: 0.6584 0.6054 0.5023  6 Sr 2.56-2.79
N: 0.8416 0.1054 0.5023  6 Sr 2.56-2.79
N: 0.8416 0.8946 0.0023  6 Sr 2.56-2.79
N: 0.8871 0.2953 0.8171  1 Zr 2.09
N: 0.8871 0.7047 0.3171  1 Zr 2.09
N: 0.9041 0.3261 0.1666  1 Zr 2.07
N: 0.9041 0.6739 0.6666  1 Zr 2.07

* formation energy (no corrections): -881 meV/atom

# 4
First-principles (GGA-PBEsol) data for a relaxed structure of Pr3Sb4Au3, as listed in Alexandria.

Unit cell a=8.6589 b=8.6589 c=8.6589 alpha=109.47 beta=109.47 gamma=109.47
Last column: nearest neighbours and their distance in Å.
Element x y z (fractional)
Pr: 0.1250 0.7500 0.8750  4 Au 3.06, 4 Sb 3.42
Pr: 0.2500 0.6250 0.3750  4 Au 3.06, 4 Sb 3.42
Pr: 0.3750 0.2500 0.6250  4 Au 3.06, 4 Sb 3.42
Pr: 0.6250 0.3750 0.2500  4 Au 3.06, 4 Sb 3.42
Pr: 0.7500 0.8750 0.1250  4 Au 3.06, 4 Sb 3.42
Pr: 0.8750 0.1250 0.7500  4 Au 3.06, 4 Sb 3.42
Sb: 0.0000 0.3263 0.5000  3 Au 2.81
Sb: 0.0000 0.8263 0.5000  3 Au 2.81
Sb: 0.1737 0.1737 0.1737  3 Au 2.81
Sb: 0.3263 0.5000 0.0000  3 Au 2.81
Sb: 0.5000 0.0000 0.3263  3 Au 2.81
Sb: 0.5000 0.0000 0.8263  3 Au 2.81
Sb: 0.6737 0.6737 0.6737  3 Au 2.81
Sb: 0.8263 0.5000 0.0000  3 Au 2.81
Au: 0.1250 0.8750 0.2500  4 Sb 2.81, 4 Pr 3.06
Au: 0.2500 0.1250 0.8750  4 Sb 2.81, 4 Pr 3.06
Au: 0.3750 0.6250 0.7500  4 Sb 2.81, 4 Pr 3.06
Au: 0.6250 0.7500 0.3750  4 Sb 2.81, 4 Pr 3.06
Au: 0.7500 0.3750 0.6250  4 Sb 2.81, 4 Pr 3.06
Au: 0.8750 0.2500 0.1250  4 Sb 2.81, 4 Pr 3.06

* formation energy (no corrections): -928 meV/atom

# 5
First-principles (GGA-PBEsol) data for a relaxed structure of Li2MgTa, as listed in Alexandria.

Unit cell a=2.7096 b=4.9591 c=10.0422 alpha=90.00 beta=90.00 gamma=90.00
Last column: nearest neighbours and their distance in Å.
Element x y z (fractional)
Li: 0.0000 0.0000 0.0000  4 Li 2.60-2.71, 2 Mg 2.76, 4 Ta 2.83
Li: 0.0000 0.5000 0.2795  4 Li 2.60-2.71, 4 Mg 2.85
Li: 0.5000 0.0000 0.7795  4 Li 2.60-2.71, 4 Mg 2.85
Li: 0.5000 0.5000 0.5000  4 Li 2.60-2.71, 2 Mg 2.76, 4 Ta 2.83
Mg: 0.0000 0.5000 0.7391  2 Mg 2.71, 6 Li 2.76-2.85
Mg: 0.5000 0.0000 0.2391  2 Mg 2.71, 6 Li 2.76-2.85
Ta: 0.0000 0.0000 0.5099  2 Ta 2.71, 6 Li 2.83-3.03
Ta: 0.5000 0.5000 0.0099  2 Ta 2.71, 6 Li 2.83-3.03

* formation energy: 0.481 eV/atom

# 6
First-principles (GGA-PBEsol) data for a relaxed structure of TaRhAu2, as listed in Alexandria.

Unit cell a=2.8944 b=3.8898 c=5.6836 alpha=90.00 beta=90.00 gamma=90.00
Last column: nearest neighbours and their distance in Å.
Element x y z (fractional)
Ta: 0.0000 0.0000 0.0000  4 Rh 2.73, 6 Au 2.74-2.95, 2 Ta 2.89
Rh: 0.5000 0.5000 0.7808  4 Ta 2.73, 6 Au 2.76-2.93, 2 Rh 2.89
Au: 0.0000 0.0000 0.5182  2 Ta 2.74-2.95, 6 Au 2.82-2.89, 4 Rh 2.85
Au: 0.5000 0.5000 0.2660  2 Rh 2.76-2.93, 6 Au 2.82-2.89, 4 Ta 2.86

* ΔE to the lowest computed polymorph: 0.76 kcal/mol of atoms
* formation energy: -0.211 eV/atom

# 7
First-principles (GGA-PBEsol) data for a relaxed structure of YSc3, as listed in Alexandria.

Unit cell a=6.7003 b=11.6120 c=5.1989 alpha=90.00 beta=90.00 gamma=90.00
Last column: nearest neighbours and their distance in Å.
Element x y z (fractional)
Y: 0.0000 0.0861 0.2500  10 Sc 3.24-3.40, 2 Y 3.28
Y: 0.0000 0.9139 0.7500  10 Sc 3.24-3.40, 2 Y 3.28
Y: 0.5000 0.4139 0.7500  10 Sc 3.24-3.40, 2 Y 3.28
Y: 0.5000 0.5861 0.2500  10 Sc 3.24-3.40, 2 Y 3.28
Sc: 0.0000 0.4153 0.7500  10 Sc 3.23-3.37, 2 Y 3.35
Sc: 0.0000 0.5847 0.2500  10 Sc 3.23-3.37, 2 Y 3.35
Sc: 0.2479 0.3318 0.2500  8 Sc 3.22-3.38, 4 Y 3.24-3.40
Sc: 0.2479 0.6682 0.7500  8 Sc 3.22-3.38, 4 Y 3.24-3.40
Sc: 0.2521 0.1682 0.7500  8 Sc 3.22-3.38, 4 Y 3.24-3.40
Sc: 0.2521 0.8318 0.2500  8 Sc 3.22-3.38, 4 Y 3.24-3.40
Sc: 0.5000 0.0847 0.2500  10 Sc 3.23-3.37, 2 Y 3.35
Sc: 0.5000 0.9153 0.7500  10 Sc 3.23-3.37, 2 Y 3.35
Sc: 0.7479 0.1682 0.7500  8 Sc 3.22-3.38, 4 Y 3.24-3.40
Sc: 0.7479 0.8318 0.2500  8 Sc 3.22-3.38, 4 Y 3.24-3.40
Sc: 0.7521 0.3318 0.2500  8 Sc 3.22-3.38, 4 Y 3.24-3.40
Sc: 0.7521 0.6682 0.7500  8 Sc 3.22-3.38, 4 Y 3.24-3.40

* ΔE to the lowest computed polymorph: 0.18 kcal/mol of atoms
* formation energy: 0.027 eV/atom

# 8
First-principles (GGA-PBEsol) data for a relaxed structure of ZrInSi2, as listed in Alexandria.

Unit cell a=4.0953 b=4.0953 c=8.4186 alpha=90.00 beta=90.00 gamma=90.00
Last column: nearest neighbours and their distance in Å.
Element x y z (fractional)
Zr: 0.0000 0.0000 0.0000  4 In 2.90, 8 Si 2.94
Zr: 0.5000 0.5000 0.5000  4 In 2.90, 8 Si 2.94
In: 0.0000 0.0000 0.5000  4 Zr 2.90, 8 Si 2.94
In: 0.5000 0.5000 0.0000  4 Zr 2.90, 8 Si 2.94
Si: 0.0000 0.5000 0.2500  4 Si 2.90, 4 Zr 2.94, 4 In 2.94
Si: 0.0000 0.5000 0.7500  4 Si 2.90, 4 Zr 2.94, 4 In 2.94
Si: 0.5000 0.0000 0.2500  4 Si 2.90, 4 Zr 2.94, 4 In 2.94
Si: 0.5000 0.0000 0.7500  4 Si 2.90, 4 Zr 2.94, 4 In 2.94

* formation energy (no corrections): -170 meV/atom

no.,spin magnetization (μB per atom)
1,0.3388
2,0.0004
3,0.0000
4,0.0000
5,0.0006
6,0.0000
7,0.0033
8,0.0000